Entry from Alexandria: Rb6InBi2 after structural relaxation (PBE).

Output
Size of the total moment, μB per atom: 0.0000
Final energy, eV per atom: -2.01
Formation energy, eV per atom: -0.200

Unit cell a=6.4727 b=6.4727 c=13.2987 alpha=75.92 beta=75.92 gamma=60.00
With the nearest neighbours (Å) after each atom.
Fractional positions:
Rb 0.5796 0.5796 0.2613  3 Bi 3.74
Rb 0.8091 0.8091 0.5727  4 Bi 3.95-4.28, 7 Rb 4.04-4.30
Rb 0.7035 0.7035 0.8896  3 In 3.99, 4 Rb 4.04-4.20, 3 Bi 4.22
Rb 0.1909 0.1909 0.4273  4 Bi 3.95-4.28, 7 Rb 4.04-4.30
Rb 0.4204 0.4204 0.7387  3 Bi 3.74
Rb 0.2965 0.2965 0.1104  3 In 3.99, 4 Rb 4.04-4.20, 3 Bi 4.22
In 0.0000 0.0000 0.0000  2 Bi 3.36
Bi 0.9122 0.9122 0.2633  1 In 3.36, 3 Rb 3.74
Bi 0.0878 0.0878 0.7367  1 In 3.36, 3 Rb 3.74